(1)
Computed, not measured: crystalline Mg4Ag3Pb at its relaxed geometry at the GGA-PBE level of DFT.

CIF file:
```
data_Mg4Ag3Pb
_chemical_formula_sum 'Mg4 Ag3 Pb1'
_space_group_name_H-M_alt 'P 1'
_space_group_IT_number 1
_cell_length_a 4.848
_cell_length_b 4.848
_cell_length_c 8.445
_cell_angle_alpha 73.32
_cell_angle_beta 73.32
_cell_angle_gamma 60.00
loop_
_space_group_symop_operation_xyz
'x,y,z'
loop_
_atom_site_label
_atom_site_type_symbol
_atom_site_fract_x
_atom_site_fract_y
_atom_site_fract_z
Ag1 Ag 0.753 0.753 0.741
Pb1 Pb 0.000 0.000 0.000
Mg1 Mg 0.383 0.383 0.852
Mg2 Mg 0.130 0.130 0.610
Mg3 Mg 0.870 0.870 0.390
Ag2 Ag 0.500 0.500 0.500
Ag3 Ag 0.247 0.247 0.259
Mg4 Mg 0.617 0.617 0.148
```

Values from the calculation:
The calculation puts the volume at 162.17 Å³/cell. For the magnetic moment, the calculation gives 0.00 μB/atom. The value obtained for the density of states at the Fermi level is 2.080 states/eV/cell. For the energy, the calculation gives -19.93 eV per cell.

***

(2)
Computed, not measured: crystalline Mg2AgPb at its relaxed geometry at the GGA-PBE level of DFT.

CIF file:
```
data_Mg2AgPb
_chemical_formula_sum 'Mg2 Ag1 Pb1'
_space_group_name_H-M_alt 'P 1'
_space_group_IT_number 1
_cell_length_a 4.981
_cell_length_b 3.548
_cell_length_c 5.000
_cell_angle_alpha 90.00
_cell_angle_beta 90.00
_cell_angle_gamma 90.00
loop_
_space_group_symop_operation_xyz
'x,y,z'
loop_
_atom_site_label
_atom_site_type_symbol
_atom_site_fract_x
_atom_site_fract_y
_atom_site_fract_z
Pb1 Pb 0.000 0.625 0.387
Ag1 Ag 0.500 0.625 0.866
Mg1 Mg 0.500 0.125 0.362
Mg2 Mg 0.000 0.125 0.885
```

Values from the calculation:
The calculation puts the volume at 88.36 Å³/cell. For the magnetic moment, the calculation gives 0.00 μB/atom. The value obtained for the density of states at the Fermi level is 1.067 states/eV/cell. For the energy, the calculation gives -10.08 eV per cell.

***

(3)
Computed, not measured: crystalline Mg2AgPb at its relaxed geometry at the GGA-PBE level of DFT.

CIF file:
```
data_Mg2AgPb
_chemical_formula_sum 'Mg2 Ag1 Pb1'
_space_group_name_H-M_alt 'P 1'
_space_group_IT_number 1
_cell_length_a 3.489
_cell_length_b 3.449
_cell_length_c 8.246
_cell_angle_alpha 64.40
_cell_angle_beta 90.00
_cell_angle_gamma 90.00
loop_
_space_group_symop_operation_xyz
'x,y,z'
loop_
_atom_site_label
_atom_site_type_symbol
_atom_site_fract_x
_atom_site_fract_y
_atom_site_fract_z
Mg1 Mg 0.000 0.037 0.960
Pb1 Pb 0.500 0.250 0.250
Mg2 Mg 0.000 0.463 0.540
Ag1 Ag 0.500 0.750 0.750
```

Values from the calculation:
The calculation puts the volume at 89.50 Å³/cell. For the magnetic moment, the calculation gives 0.00 μB/atom. The value obtained for the density of states at the Fermi level is 1.575 states/eV/cell. For the energy, the calculation gives -10.28 eV per cell.

***

(4)
Computed, not measured: crystalline Mg2Ag3Pb at its relaxed geometry at the GGA-PBE level of DFT.

CIF file:
```
data_Mg2Ag3Pb
_chemical_formula_sum 'Mg2 Ag3 Pb1'
_space_group_name_H-M_alt 'P 1'
_space_group_IT_number 1
_cell_length_a 3.496
_cell_length_b 3.496
_cell_length_c 10.010
_cell_angle_alpha 90.00
_cell_angle_beta 90.00
_cell_angle_gamma 90.00
loop_
_space_group_symop_operation_xyz
'x,y,z'
loop_
_atom_site_label
_atom_site_type_symbol
_atom_site_fract_x
_atom_site_fract_y
_atom_site_fract_z
Ag1 Ag 0.000 0.000 0.000
Pb1 Pb 0.500 0.500 0.500
Ag2 Ag 0.000 0.000 0.698
Mg1 Mg 0.500 0.500 0.845
Ag3 Ag 0.000 0.000 0.302
Mg2 Mg 0.500 0.500 0.155
```

Values from the calculation:
The calculation puts the volume at 122.36 Å³/cell. For the magnetic moment, the calculation gives 0.00 μB/atom. The value obtained for the density of states at the Fermi level is 1.821 states/eV/cell. For the energy, the calculation gives -16.20 eV per cell.

***

(5)
Computed, not measured: crystalline Mg2AgPb at its relaxed geometry at the GGA-PBE level of DFT.

CIF file:
```
data_Mg2AgPb
_chemical_formula_sum 'Mg2 Ag1 Pb1'
_space_group_name_H-M_alt 'P 1'
_space_group_IT_number 1
_cell_length_a 10.459
_cell_length_b 10.459
_cell_length_c 10.459
_cell_angle_alpha 17.89
_cell_angle_beta 17.89
_cell_angle_gamma 17.89
loop_
_space_group_symop_operation_xyz
'x,y,z'
loop_
_atom_site_label
_atom_site_type_symbol
_atom_site_fract_x
_atom_site_fract_y
_atom_site_fract_z
Mg1 Mg 0.007 0.007 0.007
Mg2 Mg 0.253 0.253 0.253
Pb1 Pb 0.496 0.496 0.496
Ag1 Ag 0.744 0.744 0.744
```

Values from the calculation:
The calculation puts the volume at 94.29 Å³/cell. For the magnetic moment, the calculation gives 0.00 μB/atom. The value obtained for the density of states at the Fermi level is 1.343 states/eV/cell. For the energy, the calculation gives -9.67 eV per cell.

***

(6)
Computed, not measured: crystalline Mg9AgPb2 at its relaxed geometry at the GGA-PBE level of DFT.

CIF file:
```
data_Mg9AgPb2
_chemical_formula_sum 'Mg9 Ag1 Pb2'
_space_group_name_H-M_alt 'P 1'
_space_group_IT_number 1
_cell_length_a 4.535
_cell_length_b 4.535
_cell_length_c 13.228
_cell_angle_alpha 90.00
_cell_angle_beta 90.00
_cell_angle_gamma 90.00
loop_
_space_group_symop_operation_xyz
'x,y,z'
loop_
_atom_site_label
_atom_site_type_symbol
_atom_site_fract_x
_atom_site_fract_y
_atom_site_fract_z
Mg1 Mg 0.500 0.500 0.676
Mg2 Mg 0.000 0.500 0.151
Mg3 Mg 0.000 0.500 0.500
Pb1 Pb 0.000 0.000 0.327
Ag1 Ag 0.000 0.000 0.000
Mg4 Mg 0.000 0.500 0.849
Mg5 Mg 0.500 0.000 0.500
Pb2 Pb 0.000 0.000 0.673
Mg6 Mg 0.500 0.000 0.849
Mg7 Mg 0.500 0.000 0.151
Mg8 Mg 0.500 0.500 0.324
Mg9 Mg 0.500 0.500 0.000
```

Values from the calculation:
The calculation puts the volume at 272.10 Å³/cell. For the magnetic moment, the calculation gives 0.00 μB/atom. The value obtained for the density of states at the Fermi level is 3.239 states/eV/cell. For the energy, the calculation gives -25.48 eV per cell.

***

(7)
Computed, not measured: crystalline Mg12Ag2Pb5 at its relaxed geometry at the GGA-PBE level of DFT.

CIF file:
```
data_Mg12Ag2Pb5
_chemical_formula_sum 'Mg12 Ag2 Pb5'
_space_group_name_H-M_alt 'P 1'
_space_group_IT_number 1
_cell_length_a 9.082
_cell_length_b 8.220
_cell_length_c 7.416
_cell_angle_alpha 89.90
_cell_angle_beta 90.00
_cell_angle_gamma 123.53
loop_
_space_group_symop_operation_xyz
'x,y,z'
loop_
_atom_site_label
_atom_site_type_symbol
_atom_site_fract_x
_atom_site_fract_y
_atom_site_fract_z
Ag1 Ag 0.721 0.000 0.000
Mg1 Mg 0.174 0.781 0.354
Mg2 Mg 0.910 0.820 0.109
Pb1 Pb 0.316 0.631 0.052
Pb2 Pb 0.244 0.488 0.572
Ag2 Ag 0.279 0.000 0.000
Mg3 Mg 0.826 0.219 0.646
Mg4 Mg 0.548 0.097 0.288
Pb3 Pb 0.756 0.512 0.428
Mg5 Mg 0.090 0.180 0.891
Mg6 Mg 0.338 0.296 0.235
Pb4 Pb 0.684 0.369 0.948
Mg7 Mg 0.452 0.903 0.712
Mg8 Mg 0.662 0.704 0.765
Mg9 Mg 0.393 0.219 0.646
Mg10 Mg 0.958 0.296 0.235
Mg11 Mg 0.042 0.704 0.765
Mg12 Mg 0.607 0.781 0.354
Pb5 Pb 0.000 0.000 0.500
```

Values from the calculation:
The calculation puts the volume at 461.48 Å³/cell. For the magnetic moment, the calculation gives 0.00 μB/atom. The value obtained for the density of states at the Fermi level is 7.195 states/eV/cell. For the energy, the calculation gives -44.07 eV per cell.

***

(8)
Computed, not measured: crystalline Mg14AgPb at its relaxed geometry at the GGA-PBE level of DFT.

CIF file:
```
data_Mg14AgPb
_chemical_formula_sum 'Mg14 Ag1 Pb1'
_space_group_name_H-M_alt 'P 1'
_space_group_IT_number 1
_cell_length_a 6.518
_cell_length_b 6.518
_cell_length_c 8.551
_cell_angle_alpha 90.00
_cell_angle_beta 90.00
_cell_angle_gamma 90.00
loop_
_space_group_symop_operation_xyz
'x,y,z'
loop_
_atom_site_label
_atom_site_type_symbol
_atom_site_fract_x
_atom_site_fract_y
_atom_site_fract_z
Pb1 Pb 0.875 0.875 0.500
Ag1 Ag 0.375 0.375 0.500
Mg1 Mg 0.134 0.616 0.745
Mg2 Mg 0.616 0.616 0.745
Mg3 Mg 0.616 0.134 0.745
Mg4 Mg 0.875 0.375 0.000
Mg5 Mg 0.875 0.375 0.500
Mg6 Mg 0.616 0.616 0.255
Mg7 Mg 0.875 0.875 0.000
Mg8 Mg 0.375 0.875 0.000
Mg9 Mg 0.375 0.375 0.000
Mg10 Mg 0.134 0.616 0.255
Mg11 Mg 0.616 0.134 0.255
Mg12 Mg 0.134 0.134 0.255
Mg13 Mg 0.375 0.875 0.500
Mg14 Mg 0.134 0.134 0.745
```

Values from the calculation:
The calculation puts the volume at 363.32 Å³/cell. For the magnetic moment, the calculation gives 0.00 μB/atom. The value obtained for the density of states at the Fermi level is 8.306 states/eV/cell. For the energy, the calculation gives -29.22 eV per cell.